A crystal of LiZrNbCo2 relaxed with PBEsol. Source: the Alexandria database, functional meta-GGA SCAN.

Cell: 4.0119 4.0119 4.2732 Å, 90.00 90.00 90.00°
Positions (direct):
Co: 0.0000 0.5000 0.0000
Co: 0.5000 0.0000 0.0000
Nb: 0.5000 0.5000 0.5000
Li: 0.0000 0.0000 0.0000
Zr: 0.0000 0.0000 0.5000

- Magnetization: 0.00 Bohr magnetons per cell
- DFT formation energy: 4.383 eV per formula unit

---

A crystal of Ti2AlH2 relaxed with PBEsol. Source: the Alexandria database, functional meta-GGA SCAN.

Cell: 3.4234 3.4234 5.0480 Å, 109.82 109.82 90.00°
Positions (direct):
H: 0.7500 0.2500 0.5000
H: 0.2500 0.7500 0.5000
Al: 0.0000 0.0000 0.0000
Ti: 0.3371 0.3371 0.6742
Ti: 0.6629 0.6629 0.3258

- Magnetization: 0.92 Bohr magnetons per cell
- Energy: -49.067 eV/cell

---

A crystal of AsPdCl3 relaxed with PBEsol. Source: the Alexandria database, functional meta-GGA SCAN.

Cell: 4.8869 4.8869 4.8869 Å, 90.00 90.00 90.00°
Positions (direct):
Pd: 0.5000 0.5000 0.5000
As: 0.0000 0.0000 0.0000
Cl: 0.0000 0.0000 0.5000
Cl: 0.0000 0.5000 0.0000
Cl: 0.5000 0.0000 0.0000

- Formation energy without anion corrections: 98 meV per atom
- Magnetization: 0.43 Bohr magnetons per cell

---

Table of N(E_F) (states/eV/f.u.), in record order: 4.8, 2.1, 9.6